NbCuPd3 | GGA-PBE | optimized geometry

Unit cell a=6.465 b=7.291 c=6.929 alpha=90.00 beta=90.00 gamma=90.00
Positions (direct):
Nb (0.196, 0.250, 0.055)
Nb (0.304, 0.750, 0.555)
Nb (0.696, 0.250, 0.445)
Nb (0.804, 0.750, 0.945)
Cu (0.000, 0.000, 0.500)
Cu (0.000, 0.500, 0.500)
Cu (0.500, 0.000, 0.000)
Cu (0.500, 0.500, 0.000)
Pd (0.132, 0.558, 0.844)
Pd (0.132, 0.942, 0.844)
Pd (0.142, 0.750, 0.208)
Pd (0.358, 0.250, 0.708)
Pd (0.368, 0.058, 0.344)
Pd (0.368, 0.442, 0.344)
Pd (0.632, 0.558, 0.656)
Pd (0.632, 0.942, 0.656)
Pd (0.642, 0.750, 0.292)
Pd (0.858, 0.250, 0.792)
Pd (0.868, 0.058, 0.156)
Pd (0.868, 0.442, 0.156)

Output
Spin magnetization in μB/f.u.: 0.0
VASP energy in eV/atom: -5.987
ΔE_f in eV per formula unit: -0.19
Distance to the lowest polymorph of the same formula in eV per atom: 0.000